Compound: RbNa2CdAs
Source: Alexandria
Functional: PBE-GGA
Structure: relaxed

Geometry as POSCAR:
```
RbNa2CdAs
1.0
-1.730 1.744 -5.140
2.562 -4.494 -2.386
-4.764 -3.023 0.578
Na As Rb Cd
2 1 1 1
Cartesian
1.281 -2.247 -1.193 Na
-0.865 0.872 -2.570 Na
0.000 0.000 0.000 As
-1.966 -2.886 -3.474 Rb
-2.382 -1.511 0.289 Cd
```

## Properties
SG = No. 123
DFT total energy = -1.99 eV per atom



Compound: NaCdAsS3
Source: Alexandria
Functional: PBE-GGA
Structure: relaxed

Geometry as POSCAR:
```
NaCdAsS3
1.0
-1.526 3.619 -16.235
-3.773 -4.340 -0.613
-8.062 -0.554 0.634
Na Cd As S
4 4 4 12
Cartesian
-10.308 -0.460 -15.005 Na
-5.748 -1.439 -9.687 Na
-3.052 -0.815 -1.208 Na
-7.612 0.164 -6.527 Na
-8.123 1.384 -11.796 Cd
-4.096 1.670 -12.152 Cd
-5.237 -2.660 -4.417 Cd
-9.264 -2.945 -4.062 Cd
-9.812 -1.266 -9.695 As
-6.234 0.087 -14.837 As
-3.548 -0.010 -6.519 As
-7.126 -1.362 -1.376 As
-8.071 1.355 -14.379 S
-3.587 0.558 -9.876 S
-5.289 -2.631 -1.835 S
-9.773 -1.833 -6.337 S
-8.117 0.263 -9.449 S
-4.551 1.643 -14.713 S
-5.243 -1.538 -6.765 S
-8.809 -2.918 -1.500 S
-5.952 -0.820 -12.732 S
-9.943 -1.190 -12.000 S
-7.408 -0.455 -3.482 S
-3.417 -0.086 -4.214 S
```

## Properties
Formation energy (no corrections) = -602 meV/atom
SG = No. 14



Compound: NaCdAs2S6
Source: Alexandria
Functional: PBE-GGA
Structure: relaxed

Geometry as POSCAR:
```
NaCdAs2S6
1.0
7.439 -0.025 -0.026
2.386 8.114 0.309
2.386 0.008 8.120
Na Cd As S
2 2 4 12
Cartesian
4.245 2.375 5.827 Na
7.965 5.722 2.576 Na
4.245 7.083 1.290 Cd
7.965 1.014 7.113 Cd
5.287 6.491 5.240 As
3.204 3.113 1.735 As
6.923 1.605 3.163 As
9.006 4.984 6.668 As
5.327 7.905 6.912 S
3.163 1.495 0.260 S
6.883 0.192 1.491 S
9.047 6.602 8.142 S
5.659 7.622 3.397 S
2.831 4.997 0.673 S
6.551 0.475 5.006 S
9.378 3.100 7.730 S
3.311 5.223 5.167 S
5.180 3.139 3.005 S
8.899 2.874 3.235 S
7.030 4.958 5.398 S
```

## Properties
Formation energy (no corrections) = -241 meV/atom
SG = No. 15



Compound: Na2CdAsS4
Source: Alexandria
Functional: PBE-GGA
Structure: relaxed

Geometry as POSCAR:
```
Na2CdAsS4
1.0
0.069 6.557 -4.212
-7.088 -1.795 -2.696
1.505 0.140 7.876
Na Cd As S
4 2 2 8
Cartesian
0.034 3.278 -2.106 Na
0.787 3.348 1.832 Na
0.752 0.070 3.938 Na
-3.510 2.381 -3.454 Na
-3.544 -0.897 -1.348 Cd
-2.723 5.729 -1.622 Cd
-2.757 2.451 0.484 As
1.574 6.696 3.664 As
-3.886 0.222 4.822 S
-1.160 4.418 0.144 S
-4.354 0.484 0.824 S
-1.629 4.679 -3.854 S
-3.807 3.704 2.455 S
-4.468 3.644 -1.002 S
-1.046 1.258 1.970 S
-1.707 1.197 -1.487 S
```

## Properties
Formation energy (no corrections) = -531 meV/atom
SG = No. 74



Compound: NaCdAs2Se
Source: Alexandria
Functional: PBE-GGA
Structure: relaxed

Geometry as POSCAR:
```
NaCdAs2Se
1.0
-1.840 2.009 4.274
1.064 -4.292 2.476
4.636 1.810 1.145
Na As Se Cd
1 2 1 1
Cartesian
0.000 0.000 0.000 Na
0.532 -2.146 1.238 As
-0.920 1.004 2.137 As
2.318 0.905 0.572 Se
1.931 -0.237 3.947 Cd
```

## Properties
Formation energy (no corrections) = 803 meV/atom
SG = No. 123



Compound: NaCdAs2Se
Source: Alexandria
Functional: PBE-GGA
Structure: relaxed

Geometry as POSCAR:
```
NaCdAs2Se
1.0
-1.209 2.166 4.566
3.094 -3.395 2.429
4.214 3.463 -0.527
Na As Se Cd
1 2 1 1
Cartesian
3.049 1.117 3.234 Na
1.547 -1.698 1.215 As
-0.604 1.083 2.283 As
2.107 1.731 -0.263 Se
0.000 0.000 0.000 Cd
```

## Properties
Formation energy (no corrections) = 406 meV/atom
SG = No. 123



Compound: NaCdAsSe2
Source: Alexandria
Functional: PBE-GGA
Structure: relaxed

Geometry as POSCAR:
```
NaCdAsSe2
1.0
-1.890 -4.251 -2.230
2.095 -2.887 3.728
-4.194 0.447 2.703
Na As Se Cd
1 1 2 1
Cartesian
0.000 0.000 0.000 Na
-2.097 0.223 1.351 As
1.047 -1.444 1.864 Se
-0.945 -2.126 -1.115 Se
-1.995 -3.346 2.100 Cd
```

## Properties
Formation energy (no corrections) = 655 meV/atom
SG = No. 123



Compound: NaCdAsSe2
Source: Alexandria
Functional: PBE-GGA
Structure: relaxed

Geometry as POSCAR:
```
NaCdAsSe2
1.0
5.402 0.000 0.000
0.000 5.402 0.000
0.000 0.000 5.112
Na As Se Cd
1 1 2 1
Cartesian
2.701 2.701 2.556 Na
0.000 0.000 2.556 As
0.000 2.701 0.000 Se
2.701 0.000 0.000 Se
0.000 0.000 0.000 Cd
```

## Properties
Formation energy (no corrections) = 215 meV/atom
SG = No. 123



Question: What is the formula in the seventh record?
Answer: NaCdAsSe2



Copy entry 5 word for word.
Compound: NaCdAs2Se
Source: Alexandria
Functional: PBE-GGA
Structure: relaxed

Geometry as POSCAR:
```
NaCdAs2Se
1.0
-1.840 2.009 4.274
1.064 -4.292 2.476
4.636 1.810 1.145
Na As Se Cd
1 2 1 1
Cartesian
0.000 0.000 0.000 Na
0.532 -2.146 1.238 As
-0.920 1.004 2.137 As
2.318 0.905 0.572 Se
1.931 -0.237 3.947 Cd
```

## Properties
Formation energy (no corrections) = 803 meV/atom
SG = No. 123